1.
Computed, not measured: a geometry-optimized CrRePb structure at the PBEsol level of DFT.

The structure belongs to space group F-43m (No. 216); the cell edges are 6.2419, 6.2419 and 6.2419 Å and the angles 90.00°, 90.00° and 90.00°. The inequivalent atoms are Cr at (0.0000, 0.0000, 0.0000), Re at (0.0000, 0.0000, 0.5000) and Pb at (0.2500, 0.2500, 0.2500).

The total magnetic moment comes out at 13.9 Bohr magnetons per cell. The calculation puts the formation energy from the elements at 1617 meV per atom. Its density is 12.2 Mg/m³.



2.
Computed, not measured: a geometry-optimized CrRhPb structure at the PBEsol level of DFT.

The structure belongs to space group F-43m (No. 216); the cell edges are 6.1645, 6.1645 and 6.1645 Å and the angles 90.00°, 90.00° and 90.00°. The inequivalent atoms are Cr at (0.0000, 0.0000, 0.0000), Rh at (0.2500, 0.2500, 0.2500) and Pb at (0.0000, 0.0000, 0.5000).

The total magnetic moment comes out at 12.9 Bohr magnetons per cell. The calculation puts the formation energy from the elements at 443 meV per atom. Its density is 10.3 Mg/m³.



3.
Computed, not measured: a geometry-optimized CrRhPb2 structure at the PBEsol level of DFT.

The structure belongs to space group Cm (No. 8); the cell edges are 10.7322, 3.1271 and 4.9292 Å and the angles 90.00°, 107.79° and 90.00°. The inequivalent atoms are Cr at (0.0000, 0.0000, 0.0000), Rh at (0.3163, 0.0000, 0.7174), Pb at (0.0541, 0.5000, 0.5427) and Pb at (0.2648, 0.5000, 0.1809).

The total magnetic moment comes out at 6.9 Bohr magnetons per cell. The calculation puts the formation energy from the elements at 396 meV per atom. Its density is 12.0 Mg/m³.



4.
Computed, not measured: a geometry-optimized YCr2RuPb structure at the PBEsol level of DFT.

The structure belongs to space group P4/mmm (No. 123); the cell edges are 5.0227, 5.0227 and 4.6784 Å and the angles 90.00°, 90.00° and 90.00°. The inequivalent atoms are Y at (0.0000, 0.0000, 0.0000), Cr at (0.0000, 0.5000, 0.0000), Ru at (0.0000, 0.0000, 0.5000) and Pb at (0.5000, 0.5000, 0.5000).

The total magnetic moment comes out at 8.2 Bohr magnetons per cell. The calculation puts the formation energy from the elements at 1838 meV per atom. Its density is 7.1 Mg/m³.



5.
Computed, not measured: a geometry-optimized Cr3PbS structure at the PBEsol level of DFT.

The structure belongs to space group Pm-3m (No. 221); the cell edges are 4.1948, 4.1948 and 4.1948 Å and the angles 90.00°, 90.00° and 90.00°. The inequivalent atoms are Cr at (0.0000, 0.0000, 0.5000), Pb at (0.5000, 0.5000, 0.5000) and S at (0.0000, 0.0000, 0.0000).

The total magnetic moment comes out at 1.9 Bohr magnetons per cell. The calculation puts the raw formation energy at 1.92 eV per formula unit. Its density is 8.9 Mg/m³.



6.
Computed, not measured: a geometry-optimized CrPb3S structure at the PBEsol level of DFT.

The structure belongs to space group Pm-3m (No. 221); the cell edges are 5.3951, 5.3951 and 5.3951 Å and the angles 90.00°, 90.00° and 90.00°. The inequivalent atoms are Cr at (0.0000, 0.0000, 0.0000), Pb at (0.0000, 0.5000, 0.5000) and S at (0.5000, 0.5000, 0.5000).

The total magnetic moment comes out at 4.9 Bohr magnetons per cell. The calculation puts the raw formation energy at 3.44 eV per formula unit. Its density is 7.5 Mg/m³.